This record from Alexandria via LeMat-Bulk describes crystalline Y2SeCl at its relaxed geometry. The functional is GGA-PBE.

Cell: 3.703 6.476 4.320 Å, 90.00 90.00 90.00°
Fractional positions:
Cl1 0.500 0.000 0.500
Se1 0.000 0.500 0.500
Y1 0.000 0.000 0.000
Y2 0.500 0.500 0.000

Computed properties:
E_tot ... -5.8264 eV/atom
Excess energy over the best structure of this formula in the dataset ... 220 meV/atom